(1)
The following is a DFT calculation (PBE with a Hubbard U) of Pr3CrGa2O9 after structural relaxation.

Computed properties:
- crystal system = trigonal
- density of states at the Fermi level (states/eV/atom) = 0.000

Lattice parameters (Å, degrees): 5.5139 5.5139 6.7519 90.00 90.00 120.00
With the nearest neighbours (Å) after each atom.
Fractional coordinates of all 15 atoms:
O (0.1675, 0.8325, 0.3326)  1 Ga 1.94, 1 Cr 1.96
O (0.0000, 0.5000, 0.0000)  2 Ga 1.95
O (0.6651, 0.8325, 0.3326)  1 Ga 1.94, 1 Cr 1.96
O (0.3349, 0.1675, 0.6674)  1 Ga 1.94, 1 Cr 1.96
O (0.5000, 0.5000, 0.0000)  2 Ga 1.95
O (0.1675, 0.3349, 0.3326)  1 Ga 1.94, 1 Cr 1.96
O (0.8325, 0.1675, 0.6674)  1 Ga 1.94, 1 Cr 1.96
O (0.5000, 0.0000, 0.0000)  2 Ga 1.95
O (0.8325, 0.6651, 0.6674)  1 Ga 1.94, 1 Cr 1.96
Cr (0.0000, 0.0000, 0.5000)  6 O 1.96
Pr (0.0000, 0.0000, 0.0000)  12 O 2.76
Pr (0.6667, 0.3333, 0.3344)  12 O 2.75-2.76
Pr (0.3333, 0.6667, 0.6656)  12 O 2.75-2.76
Ga (0.3333, 0.6667, 0.1657)  6 O 1.94-1.95
Ga (0.6667, 0.3333, 0.8343)  6 O 1.94-1.95

(2)
The following is a DFT calculation (PBE with a Hubbard U) of PuCr2GaO8 after structural relaxation.

Computed properties:
- crystal system = orthorhombic
- density of states at the Fermi level (states/eV/atom) = 0.407

Lattice parameters (Å, degrees): 4.6801 4.6780 6.2047 90.00 90.00 90.92
With the nearest neighbours (Å) after each atom.
Fractional coordinates of all 12 atoms:
O (0.8018, 0.1988, 0.7532)  1 Cr 2.01, 1 Ga 2.02, 1 Pu 2.05
O (0.6884, 0.6891, 0.5000)  2 Cr 2.04, 1 Pu 2.04
O (0.3043, 0.3037, 0.0000)  2 Cr 1.96, 1 Ga 2.00
O (0.1982, 0.8012, 0.2468)  1 Cr 2.01, 1 Ga 2.02, 1 Pu 2.05
O (0.8018, 0.1988, 0.2468)  1 Cr 2.01, 1 Ga 2.02, 1 Pu 2.05
O (0.6957, 0.6963, 0.0000)  2 Cr 1.96, 1 Ga 2.00
O (0.1982, 0.8012, 0.7532)  1 Cr 2.01, 1 Ga 2.02, 1 Pu 2.05
O (0.3116, 0.3109, 0.5000)  2 Cr 2.04, 1 Pu 2.04
Ga (0.0000, 0.0000, 0.0000)  6 O 2.00-2.02
Pu (0.0000, 0.0000, 0.5000)  6 O 2.04-2.05
Cr (0.5000, 0.5000, 0.7612)  6 O 1.96-2.04
Cr (0.5000, 0.5000, 0.2388)  6 O 1.96-2.04

(3)
The following is a DFT calculation (PBE with a Hubbard U) of PuCrGaO6 after structural relaxation.

Computed properties:
- crystal system = trigonal
- density of states at the Fermi level (states/eV/atom) = 0.604

Lattice parameters (Å, degrees): 5.1876 5.1876 8.8790 90.00 90.00 120.00
With the nearest neighbours (Å) after each atom.
Fractional coordinates of all 18 atoms:
Ga (0.6667, 0.3333, 0.2500)  6 O 2.02
Ga (0.3333, 0.6667, 0.7500)  6 O 2.02
O (0.0098, 0.3361, 0.6269)  1 Ga 2.02, 1 Cr 2.06, 1 Pu 2.08
O (0.6737, 0.6639, 0.1269)  1 Ga 2.02, 1 Cr 2.06, 1 Pu 2.08
O (0.3361, 0.3263, 0.3731)  1 Ga 2.02, 1 Cr 2.06, 1 Pu 2.08
O (0.6639, 0.9902, 0.8731)  1 Ga 2.02, 1 Cr 2.06, 1 Pu 2.08
O (0.0098, 0.6737, 0.8731)  1 Ga 2.02, 1 Cr 2.06, 1 Pu 2.08
O (0.9902, 0.3263, 0.1269)  1 Ga 2.02, 1 Cr 2.06, 1 Pu 2.08
O (0.3361, 0.0098, 0.1269)  1 Ga 2.02, 1 Cr 2.06, 1 Pu 2.08
O (0.6639, 0.6737, 0.6269)  1 Ga 2.02, 1 Cr 2.06, 1 Pu 2.08
O (0.3263, 0.3361, 0.8731)  1 Ga 2.02, 1 Cr 2.06, 1 Pu 2.08
O (0.6737, 0.0098, 0.3731)  1 Ga 2.02, 1 Cr 2.06, 1 Pu 2.08
O (0.9902, 0.6639, 0.3731)  1 Ga 2.02, 1 Cr 2.06, 1 Pu 2.08
O (0.3263, 0.9902, 0.6269)  1 Ga 2.02, 1 Cr 2.06, 1 Pu 2.08
Cr (0.0000, 0.0000, 0.5000)  6 O 2.06
Cr (0.0000, 0.0000, 0.0000)  6 O 2.06
Pu (0.6667, 0.3333, 0.7500)  6 O 2.08
Pu (0.3333, 0.6667, 0.2500)  6 O 2.08

(4)
The following is a DFT calculation (PBE with a Hubbard U) of PuCrGa2O8 after structural relaxation.

Computed properties:
- crystal system = orthorhombic
- density of states at the Fermi level (states/eV/atom) = 0.251

Lattice parameters (Å, degrees): 4.7360 4.7328 6.1257 90.00 90.00 91.94
With the nearest neighbours (Å) after each atom.
Fractional coordinates of all 12 atoms:
O (0.6965, 0.6973, 0.5000)  2 Ga 1.93, 1 Cr 1.99
O (0.8079, 0.1931, 0.2497)  1 Pu 2.01, 1 Cr 2.02, 1 Ga 2.09
O (0.8079, 0.1931, 0.7503)  1 Pu 2.01, 1 Cr 2.02, 1 Ga 2.09
O (0.1921, 0.8069, 0.2497)  1 Pu 2.01, 1 Cr 2.02, 1 Ga 2.09
O (0.3035, 0.3027, 0.5000)  2 Ga 1.93, 1 Cr 1.99
O (0.1921, 0.8069, 0.7503)  1 Pu 2.01, 1 Cr 2.02, 1 Ga 2.09
O (0.3129, 0.3119, 0.0000)  2 Ga 2.04, 1 Pu 2.06
O (0.6871, 0.6881, 0.0000)  2 Ga 2.04, 1 Pu 2.06
Cr (0.0000, 0.0000, 0.5000)  6 O 1.99-2.02
Ga (0.5000, 0.5000, 0.2657)  6 O 1.93-2.09
Ga (0.5000, 0.5000, 0.7343)  6 O 1.93-2.09
Pu (0.0000, 0.0000, 0.0000)  6 O 2.01-2.06

(5)
The following is a DFT calculation (PBE with a Hubbard U) of PuCr2GaO6 after structural relaxation.

Computed properties:
- crystal system = trigonal
- density of states at the Fermi level (states/eV/atom) = 0.831

Lattice parameters (Å, degrees): 5.2781 5.2780 5.6140 61.95 61.94 60.00
With the nearest neighbours (Å) after each atom.
Fractional coordinates of all 10 atoms:
O (0.3580, 0.7256, 0.7492)  2 Cr 1.98-2.07, 1 Ga 2.10
O (0.9124, 0.6119, 0.2298)  1 Ga 2.01, 2 Cr 2.04-2.10
O (0.1673, 0.3580, 0.7493)  2 Cr 1.98-2.06, 1 Ga 2.10
O (0.7254, 0.1674, 0.7493)  2 Cr 1.98-2.06, 1 Ga 2.10
O (0.2459, 0.9122, 0.2298)  1 Ga 2.01, 2 Cr 2.04-2.10
O (0.6119, 0.2460, 0.2297)  1 Ga 2.01, 2 Cr 2.04-2.10
Pu (0.7977, 0.7977, 0.6069)  6 O 2.24-2.44
Cr (0.0128, 0.0129, 0.9614)  6 O 1.98-2.10
Cr (0.5176, 0.5173, 0.4476)  6 O 2.04-2.07
Ga (0.3126, 0.3126, 0.0622)  6 O 2.01-2.10

(6)
The following is a DFT calculation (PBE with a Hubbard U) of RbCrGaO4 after structural relaxation.

Computed properties:
- crystal system = monoclinic

Lattice parameters (Å, degrees): 6.5008 6.1502 8.3196 90.00 130.86 90.00
With the nearest neighbours (Å) after each atom.
Fractional coordinates of all 14 atoms:
O (0.9741, 0.0014, 0.7260)  1 Cr 1.83, 1 Ga 1.87
O (0.0259, 0.5014, 0.2740)  1 Cr 1.83, 1 Ga 1.87
O (0.5363, 0.7500, 0.6404)  1 Cr 1.81, 1 Ga 1.89
O (0.9741, 0.4986, 0.7260)  1 Cr 1.83, 1 Ga 1.87
O (0.5081, 0.7500, 0.3156)  1 Cr 1.81, 1 Ga 1.93
O (0.4637, 0.2500, 0.3596)  1 Cr 1.81, 1 Ga 1.89
O (0.0259, 0.9986, 0.2740)  1 Cr 1.83, 1 Ga 1.87
O (0.4919, 0.2500, 0.6844)  1 Cr 1.81, 1 Ga 1.93
Cr (0.7794, 0.7500, 0.6018)  4 O 1.81-1.83
Cr (0.2206, 0.2500, 0.3982)  4 O 1.81-1.83
Rb (0.4824, 0.2500, 0.0558)  1 O 2.61
Rb (0.5176, 0.7500, 0.9442)  1 O 2.61
Ga (0.7630, 0.2500, 0.6545)  4 O 1.87-1.93
Ga (0.2370, 0.7500, 0.3455)  4 O 1.87-1.93

(7)
The following is a DFT calculation (PBE with a Hubbard U) of CrGaReO6 after structural relaxation.

Computed properties:
- crystal system = trigonal
- density of states at the Fermi level (states/eV/atom) = 0.239

Lattice parameters (Å, degrees): 5.0362 5.0362 8.8238 90.00 90.00 120.00
With the nearest neighbours (Å) after each atom.
Fractional coordinates of all 18 atoms:
O (0.0105, 0.6617, 0.3705)  1 Re 1.93, 1 Ga 2.00, 1 Cr 2.07
O (0.6617, 0.0105, 0.8705)  1 Re 1.93, 1 Ga 2.00, 1 Cr 2.07
O (0.3383, 0.3488, 0.3705)  1 Re 1.93, 1 Ga 2.00, 1 Cr 2.07
O (0.0105, 0.3488, 0.1295)  1 Re 1.93, 1 Ga 2.00, 1 Cr 2.07
O (0.9895, 0.6512, 0.8705)  1 Re 1.93, 1 Ga 2.00, 1 Cr 2.07
O (0.9895, 0.3383, 0.6295)  1 Re 1.93, 1 Ga 2.00, 1 Cr 2.07
O (0.3488, 0.3383, 0.8705)  1 Re 1.93, 1 Ga 2.00, 1 Cr 2.07
O (0.3488, 0.0105, 0.6295)  1 Re 1.93, 1 Ga 2.00, 1 Cr 2.07
O (0.3383, 0.9895, 0.1295)  1 Re 1.93, 1 Ga 2.00, 1 Cr 2.07
O (0.6512, 0.6617, 0.1295)  1 Re 1.93, 1 Ga 2.00, 1 Cr 2.07
O (0.6617, 0.6512, 0.6295)  1 Re 1.93, 1 Ga 2.00, 1 Cr 2.07
O (0.6512, 0.9895, 0.3705)  1 Re 1.93, 1 Ga 2.00, 1 Cr 2.07
Ga (0.6667, 0.3333, 0.2500)  6 O 2.00
Ga (0.3333, 0.6667, 0.7500)  6 O 2.00
Cr (0.0000, 0.0000, 0.0000)  6 O 2.07
Cr (0.0000, 0.0000, 0.5000)  6 O 2.07
Re (0.6667, 0.3333, 0.7500)  6 O 1.93
Re (0.3333, 0.6667, 0.2500)  6 O 1.93

(8)
The following is a DFT calculation (PBE with a Hubbard U) of CrGaRhO6 after structural relaxation.

Computed properties:
- crystal system = tetragonal
- density of states at the Fermi level (states/eV/atom) = 0.619

Lattice parameters (Å, degrees): 4.5431 4.5431 9.1287 90.00 90.00 90.00
With the nearest neighbours (Å) after each atom.
Fractional coordinates of all 18 atoms:
Ga (0.5000, 0.5000, 0.8329)  6 O 1.98-1.99
Ga (0.0000, 0.0000, 0.3329)  6 O 1.98-1.99
O (0.6924, 0.6924, 0.3366)  1 Cr 1.94, 1 Ga 1.98, 1 Rh 1.98
O (0.1956, 0.8044, 0.1637)  1 Cr 1.95, 1 Rh 1.96, 1 Ga 1.99
O (0.6956, 0.6956, 0.6637)  1 Cr 1.95, 1 Rh 1.96, 1 Ga 1.99
O (0.3044, 0.3044, 0.6637)  1 Cr 1.95, 1 Rh 1.96, 1 Ga 1.99
O (0.1998, 0.8002, 0.4997)  1 Cr 1.93, 1 Rh 1.99, 1 Ga 1.99
O (0.6998, 0.6998, 0.9997)  1 Cr 1.93, 1 Rh 1.99, 1 Ga 1.99
O (0.8076, 0.1924, 0.8366)  1 Cr 1.94, 1 Ga 1.98, 1 Rh 1.98
O (0.3002, 0.3002, 0.9997)  1 Cr 1.93, 1 Rh 1.99, 1 Ga 1.99
O (0.8002, 0.1998, 0.4997)  1 Cr 1.93, 1 Rh 1.99, 1 Ga 1.99
O (0.1924, 0.8076, 0.8366)  1 Cr 1.94, 1 Ga 1.98, 1 Rh 1.98
O (0.8044, 0.1956, 0.1637)  1 Cr 1.95, 1 Rh 1.96, 1 Ga 1.99
O (0.3076, 0.3076, 0.3366)  1 Cr 1.94, 1 Ga 1.98, 1 Rh 1.98
Rh (0.0000, 0.0000, 0.6665)  6 O 1.96-1.99
Rh (0.5000, 0.5000, 0.1665)  6 O 1.96-1.99
Cr (0.0000, 0.0000, 0.0006)  6 O 1.93-1.95
Cr (0.5000, 0.5000, 0.5006)  6 O 1.93-1.95

(9)
The following is a DFT calculation (PBE with a Hubbard U) of CrGaRuO6 after structural relaxation.

Computed properties:
- crystal system = tetragonal
- density of states at the Fermi level (states/eV/atom) = 0.448

Lattice parameters (Å, degrees): 4.5579 4.5579 9.1522 90.00 90.00 90.00
With the nearest neighbours (Å) after each atom.
Fractional coordinates of all 18 atoms:
Cr (0.5000, 0.5000, 0.5000)  6 O 1.97-2.01
Cr (0.0000, 0.0000, 0.0000)  6 O 1.97-2.01
O (0.6951, 0.6951, 0.0028)  1 Ru 1.95, 1 Cr 1.97, 1 Ga 2.00
O (0.3049, 0.3049, 0.0028)  1 Ru 1.95, 1 Cr 1.97, 1 Ga 2.00
O (0.1951, 0.8049, 0.5028)  1 Ru 1.95, 1 Cr 1.97, 1 Ga 2.00
O (0.2966, 0.2966, 0.6662)  1 Ru 1.91, 1 Cr 2.01, 1 Ga 2.01
O (0.8049, 0.1951, 0.5028)  1 Ru 1.95, 1 Cr 1.97, 1 Ga 2.00
O (0.8059, 0.1941, 0.8313)  1 Ru 1.96, 1 Ga 1.97, 1 Cr 1.99
O (0.7966, 0.2034, 0.1662)  1 Ru 1.91, 1 Cr 2.01, 1 Ga 2.01
O (0.2034, 0.7966, 0.1662)  1 Ru 1.91, 1 Cr 2.01, 1 Ga 2.01
O (0.7034, 0.7034, 0.6662)  1 Ru 1.91, 1 Cr 2.01, 1 Ga 2.01
O (0.3059, 0.3059, 0.3313)  1 Ru 1.96, 1 Ga 1.97, 1 Cr 1.99
O (0.1941, 0.8059, 0.8313)  1 Ru 1.96, 1 Ga 1.97, 1 Cr 1.99
O (0.6941, 0.6941, 0.3313)  1 Ru 1.96, 1 Ga 1.97, 1 Cr 1.99
Ga (0.5000, 0.5000, 0.8333)  6 O 1.97-2.01
Ga (0.0000, 0.0000, 0.3333)  6 O 1.97-2.01
Ru (0.5000, 0.5000, 0.1662)  6 O 1.91-1.96
Ru (0.0000, 0.0000, 0.6662)  6 O 1.91-1.96

(10)
The following is a DFT calculation (PBE with a Hubbard U) of CrGa2SbO8 after structural relaxation.

Computed properties:
- crystal system = orthorhombic
- density of states at the Fermi level (states/eV/atom) = 0.074

Lattice parameters (Å, degrees): 4.5900 4.5867 6.0779 90.00 90.00 91.77
With the nearest neighbours (Å) after each atom.
Fractional coordinates of all 12 atoms:
O (0.1917, 0.8074, 0.2604)  1 Cr 1.93, 1 Sb 2.03, 1 Ga 2.03
O (0.8083, 0.1926, 0.2603)  1 Cr 1.93, 1 Sb 2.03, 1 Ga 2.03
O (0.2932, 0.2923, 0.5000)  1 Cr 1.87, 2 Ga 2.00
O (0.1917, 0.8074, 0.7397)  1 Cr 1.93, 1 Sb 2.03, 1 Ga 2.03
O (0.7068, 0.7077, 0.5000)  1 Cr 1.87, 2 Ga 2.00
O (0.3086, 0.3076, 0.0000)  1 Sb 1.97, 2 Ga 1.97
O (0.8083, 0.1926, 0.7396)  1 Cr 1.93, 1 Sb 2.03, 1 Ga 2.03
O (0.6914, 0.6924, 0.0000)  1 Sb 1.97, 2 Ga 1.97
Cr (0.0000, 0.0000, 0.5000)  6 O 1.87-1.93
Ga (0.5000, 0.5000, 0.2541)  6 O 1.97-2.03
Ga (0.5000, 0.5000, 0.7459)  6 O 1.97-2.03
Sb (0.0000, 0.0000, 0.0000)  6 O 1.97-2.03

(11)
The following is a DFT calculation (PBE with a Hubbard U) of CrGaSbO6 after structural relaxation.

Computed properties:
- crystal system = tetragonal

Lattice parameters (Å, degrees): 4.5960 4.5960 9.1854 90.00 90.00 90.00
With the nearest neighbours (Å) after each atom.
Fractional coordinates of all 18 atoms:
O (0.6918, 0.6918, 0.6637)  1 Cr 1.95, 1 Ga 1.99, 1 Sb 2.00
O (0.3063, 0.3063, 0.3372)  1 Cr 1.96, 1 Ga 1.99, 1 Sb 2.01
O (0.8082, 0.1918, 0.1637)  1 Cr 1.95, 1 Ga 1.99, 1 Sb 2.00
O (0.7014, 0.7014, 0.9995)  1 Cr 1.94, 1 Ga 2.02, 1 Sb 2.02
O (0.1937, 0.8063, 0.8372)  1 Cr 1.96, 1 Ga 1.99, 1 Sb 2.01
O (0.1918, 0.8082, 0.1637)  1 Cr 1.95, 1 Ga 1.99, 1 Sb 2.00
O (0.7986, 0.2014, 0.4995)  1 Cr 1.94, 1 Ga 2.02, 1 Sb 2.02
O (0.3082, 0.3082, 0.6637)  1 Cr 1.95, 1 Ga 1.99, 1 Sb 2.00
O (0.6937, 0.6937, 0.3372)  1 Cr 1.96, 1 Ga 1.99, 1 Sb 2.01
O (0.8063, 0.1937, 0.8372)  1 Cr 1.96, 1 Ga 1.99, 1 Sb 2.01
O (0.2986, 0.2986, 0.9995)  1 Cr 1.94, 1 Ga 2.02, 1 Sb 2.02
O (0.2014, 0.7986, 0.4995)  1 Cr 1.94, 1 Ga 2.02, 1 Sb 2.02
Cr (0.5000, 0.5000, 0.5002)  6 O 1.94-1.96
Cr (0.0000, 0.0000, 0.0002)  6 O 1.94-1.96
Sb (0.0000, 0.0000, 0.6669)  6 O 2.00-2.02
Sb (0.5000, 0.5000, 0.1669)  6 O 2.00-2.02
Ga (0.0000, 0.0000, 0.3321)  6 O 1.99-2.02
Ga (0.5000, 0.5000, 0.8321)  6 O 1.99-2.02

(12)
The following is a DFT calculation (PBE with a Hubbard U) of Cr2GaSbO after structural relaxation.

Computed properties:
- crystal system = tetragonal
- density of states at the Fermi level (states/eV/atom) = 0.576

Lattice parameters (Å, degrees): 5.4466 4.1527 5.4466 90.00 90.00 90.00
With the nearest neighbours (Å) after each atom.
Fractional coordinates of all 5 atoms:
Cr (0.0000, 0.0000, 0.5000)  2 Sb 2.72
Cr (0.5000, 0.0000, 0.0000)  2 Sb 2.72
Sb (0.0000, 0.0000, 0.0000)  2 O 2.08
O (0.0000, 0.5000, 0.0000)  2 Sb 2.08
Ga (0.5000, 0.5000, 0.5000)  8 Cr 3.42

Number 1: magnetic moment 0.200 μB per atom, raw total energy -7.391 eV per atom. Number 2: magnetic moment 0.583 μB per atom, raw total energy -7.974 eV per atom. Number 3: magnetic moment 0.556 μB per atom, raw total energy -8.083 eV per atom. Number 4: magnetic moment 0.333 μB per atom, raw total energy -7.572 eV per atom. Number 5: magnetic moment 0.700 μB per atom, raw total energy -8.191 eV per atom. Number 6: magnetic moment 0.286 μB per atom, raw total energy -6.048 eV per atom. Number 7: magnetic moment 0.446 μB per atom, raw total energy -7.459 eV per atom. Number 8: magnetic moment 0.089 μB per atom, raw total energy -6.509 eV per atom. Number 9: magnetic moment 0.369 μB per atom, raw total energy -6.853 eV per atom. Number 10: magnetic moment 0.083 μB per atom, raw total energy -6.279 eV per atom. Number 11: magnetic moment 0.222 μB per atom, raw total energy -6.517 eV per atom. Number 12: magnetic moment 1.969 μB per atom, raw total energy -4.994 eV per atom.